# 1
12
Lattice="8.879 -3.670 0.000 8.879 3.670 0.000 -0.229 0.000 6.187" Properties=species:S:1:pos:R:3 comment="La5YHo6 | the Alexandria database | GGA-PBE | optimized geometry" volume_a3_per_atom=33.6 dft_energy_ev_per_atom=-4.853 formation_energy_ev_per_atom=0.0278 pbc="T T T"
La 0.000 0.000 0.000
La 2.809 0.000 4.124
La 5.879 0.000 2.059
La 11.650 0.000 4.128
La 14.720 0.000 2.062
Y 8.879 0.000 0.000
Ho 5.741 1.833 5.147
Ho 8.764 1.830 3.093
Ho 11.788 1.833 1.040
Ho 5.741 -1.833 5.147
Ho 8.764 -1.830 3.093
Ho 11.788 -1.833 1.040

***

# 2
6
Lattice="5.087 0.000 0.000 0.000 5.152 0.000 -2.536 0.000 7.681" Properties=species:S:1:pos:R:3 comment="LaYHo | the Alexandria database | GGA-PBE | optimized geometry" e_above_lowest_polymorph_mev_per_atom=9.8 volume_a3_per_atom=33.6 dft_energy_ev_per_atom=-5.286 formation_energy_ev_per_atom=0.0368 pbc="T T T"
La 0.001 1.288 1.290
La 2.549 3.864 6.391
Y 0.006 1.288 6.357
Y 2.545 3.864 1.324
Ho 0.005 3.864 3.819
Ho 2.546 1.288 3.862

***

# 3
10
Lattice="9.135 -2.530 0.000 9.135 2.530 0.000 -1.470 0.000 6.992" Properties=species:S:1:pos:R:3 comment="La2YHo7 | the Alexandria database | GGA-PBE | optimized geometry" e_above_lowest_polymorph_mev_per_atom=0.0 volume_a3_per_atom=32.3 dft_energy_ev_per_atom=-4.808 formation_energy_ev_per_atom=0.0287 pbc="T T T"
La 3.463 0.000 0.716
La 13.337 0.000 6.276
Y -0.735 0.000 3.496
Ho 0.000 0.000 0.000
Ho 2.753 0.000 4.190
Ho 6.301 0.000 4.874
Ho 7.053 0.000 1.409
Ho 9.747 0.000 5.583
Ho 10.499 0.000 2.118
Ho 14.047 0.000 2.802

***

# 4
12
Lattice="6.700 -1.783 0.000 6.700 1.783 0.000 -3.870 0.000 17.497" Properties=species:S:1:pos:R:3 comment="La3YHo2 | the Alexandria database | GGA-PBE | optimized geometry" e_above_lowest_polymorph_mev_per_atom=0.0 volume_a3_per_atom=34.8 dft_energy_ev_per_atom=-4.955 formation_energy_ev_per_atom=0.1124 pbc="T T T"
La 0.230 0.000 2.958
La 1.016 0.000 11.573
La 4.974 0.000 0.169
La 4.557 0.000 17.328
La 8.515 0.000 5.924
La 9.301 0.000 14.539
Y 4.893 0.000 5.607
Y 4.638 0.000 11.890
Ho -0.589 0.000 14.598
Ho 3.006 0.000 8.725
Ho 6.525 0.000 8.772
Ho 10.120 0.000 2.899

***

# 5
16
Lattice="5.108 0.000 0.000 0.000 5.108 0.000 0.000 0.000 20.460" Properties=species:S:1:pos:R:3 comment="La3Y12Ho | the Alexandria database | GGA-PBE | optimized geometry" volume_a3_per_atom=33.4 dft_energy_ev_per_atom=-6.027 formation_energy_ev_per_atom=0.0312 pbc="T T T"
La 0.000 0.000 0.000
La 0.000 0.000 5.132
La 0.000 0.000 15.328
Y 0.000 2.554 2.577
Y 0.000 2.554 7.742
Y 0.000 2.554 12.718
Y 0.000 2.554 17.883
Y 2.554 0.000 2.577
Y 2.554 0.000 7.742
Y 2.554 0.000 12.718
Y 2.554 0.000 17.883
Y 2.554 2.554 0.000
Y 2.554 2.554 5.165
Y 2.554 2.554 10.230
Y 2.554 2.554 15.295
Ho 0.000 0.000 10.230

***

# 6
12
Lattice="1.803 -9.366 0.000 1.803 9.366 0.000 0.000 0.000 11.635" Properties=species:S:1:pos:R:3 comment="LaY3Ho2 | the Alexandria database | GGA-PBE | optimized geometry" volume_a3_per_atom=32.8 dft_energy_ev_per_atom=-5.557 formation_energy_ev_per_atom=0.0226 pbc="T T T"
La 1.803 5.219 8.726
La 1.803 -5.219 2.909
Y 1.803 7.357 2.909
Y 1.803 3.086 5.854
Y 1.803 3.086 11.598
Y 1.803 -3.086 0.037
Y 1.803 -3.086 5.781
Y 1.803 -7.357 8.726
Ho 0.000 0.000 0.000
Ho 0.000 0.000 5.817
Ho 1.803 1.021 2.909
Ho 1.803 -1.021 8.726

***

# 7
26
Lattice="11.819 0.000 0.000 0.000 20.867 0.000 0.000 0.000 3.644" Properties=species:S:1:pos:R:3 comment="La6Y2Ho5 | the Alexandria database | GGA-PBE | optimized geometry" volume_a3_per_atom=34.6 dft_energy_ev_per_atom=-4.919 formation_energy_ev_per_atom=0.1105 pbc="T T T"
La 0.686 1.667 0.000
La 0.960 7.645 0.000
La 2.055 13.215 1.822
La 3.854 2.781 1.822
La 4.949 18.078 0.000
La 5.223 12.101 0.000
La 6.596 8.766 0.000
La 6.869 2.789 0.000
La 7.965 18.085 1.822
La 9.764 7.652 1.822
La 10.859 13.222 0.000
La 11.133 19.199 0.000
Y 1.926 16.485 0.000
Y 3.984 6.052 0.000
Y 7.835 14.815 0.000
Y 9.893 4.381 0.000
Ho 0.000 10.433 1.822
Ho 1.137 4.717 1.822
Ho 2.375 19.677 1.822
Ho 3.535 9.243 1.822
Ho 4.772 15.151 1.822
Ho 5.909 0.000 1.822
Ho 7.047 5.716 1.822
Ho 8.284 11.623 1.822
Ho 9.444 1.190 1.822
Ho 10.682 16.149 1.822

***

# 8
15
Lattice="-4.899 4.899 5.327 4.899 -4.899 5.327 4.899 4.899 -5.327" Properties=species:S:1:pos:R:3 comment="La4YHo10 | the Alexandria database | GGA-PBE | optimized geometry" volume_a3_per_atom=34.1 dft_energy_ev_per_atom=-4.435 formation_energy_ev_per_atom=0.3618 pbc="T T T"
La 3.294 0.654 0.000
La 4.245 -1.604 5.327
La 0.654 6.503 0.000
La 1.604 4.245 5.327
Y 0.000 0.000 0.000
Ho 6.009 2.851 -1.715
Ho 2.851 3.788 -1.715
Ho 4.899 0.000 2.664
Ho 2.048 1.111 3.612
Ho 6.009 2.851 1.715
Ho -1.111 2.048 3.612
Ho 2.851 3.788 1.715
Ho 0.000 4.899 2.664
Ho 2.048 1.111 7.042
Ho -1.111 2.048 7.042

***

# 9
8
Lattice="11.830 -1.734 0.000 11.830 1.734 0.000 -1.905 0.000 6.439" Properties=species:S:1:pos:R:3 comment="LaY3Ho4 | the Alexandria database | GGA-PBE | optimized geometry" e_above_lowest_polymorph_mev_per_atom=164.3 volume_a3_per_atom=33.0 dft_energy_ev_per_atom=-5.152 formation_energy_ev_per_atom=0.1772 pbc="T T T"
La 0.000 0.000 0.000
Y 8.572 0.000 0.752
Y 10.877 0.000 3.219
Y 13.183 0.000 5.687
Ho 5.211 0.000 1.591
Ho 7.641 0.000 4.045
Ho 14.113 0.000 2.394
Ho 16.543 0.000 4.848

***

# 10
18
Lattice="10.235 -3.203 0.000 10.235 3.203 0.000 -6.404 0.000 9.877" Properties=species:S:1:pos:R:3 comment="La5YHo3 | the Alexandria database | GGA-PBE | optimized geometry" e_above_lowest_polymorph_mev_per_atom=0.0 volume_a3_per_atom=36.0 dft_energy_ev_per_atom=-4.722 formation_energy_ev_per_atom=0.2593 pbc="T T T"
La 5.194 2.043 3.291
La 5.431 2.625 7.407
La 2.277 1.143 6.579
La 12.073 2.043 1.647
La 5.480 -1.143 1.640
La 8.585 1.143 8.236
La 1.992 -2.043 8.229
La 11.788 -1.143 3.298
La 8.634 -2.625 2.469
La 8.871 -2.043 6.586
Y 8.634 0.665 2.469
Y 5.431 -0.665 7.407
Ho 0.408 1.493 9.675
Ho 10.454 1.493 5.140
Ho 10.235 0.000 0.000
Ho 7.032 0.000 4.938
Ho 3.611 -1.493 4.736
Ho 13.657 -1.493 0.202

***

# 11
8
Lattice="4.844 2.796 3.319 -4.844 2.796 3.319 0.000 -5.593 3.319" Properties=species:S:1:pos:R:3 comment="LaY6Ho | the Alexandria database | GGA-PBE | optimized geometry" volume_a3_per_atom=33.7 dft_energy_ev_per_atom=-5.888 formation_energy_ev_per_atom=0.1481 pbc="T T T"
La 0.000 0.000 0.000
Y -2.008 -2.785 4.129
Y -3.416 0.346 5.829
Y -1.408 3.132 4.129
Y 1.408 -3.132 5.829
Y 3.416 -0.346 4.129
Y 2.008 2.785 5.829
Ho 0.000 0.000 4.979

***

# 12
12
Lattice="3.175 -5.498 0.000 3.175 5.498 0.000 -2.115 0.000 11.720" Properties=species:S:1:pos:R:3 comment="La3Y2Ho | the Alexandria database | GGA-PBE | optimized geometry" e_above_lowest_polymorph_mev_per_atom=0.0 volume_a3_per_atom=34.1 dft_energy_ev_per_atom=-5.374 formation_energy_ev_per_atom=0.0072 pbc="T T T"
La -0.003 1.839 8.804
La 1.050 0.000 2.919
La -0.003 -1.839 8.804
La 4.237 1.839 2.916
La 3.183 0.000 8.800
La 4.237 -1.839 2.916
Y -1.058 0.000 5.860
Y 2.117 1.834 5.860
Y 3.175 0.000 0.000
Y 2.117 -1.834 5.860
Ho 3.175 3.665 0.000
Ho 3.175 -3.665 0.000

***

# 13
20
Lattice="7.822 -6.809 0.000 7.822 6.809 0.000 -1.729 0.000 6.502" Properties=species:S:1:pos:R:3 comment="La3YHo | the Alexandria database | GGA-PBE | optimized geometry" e_above_lowest_polymorph_mev_per_atom=0.0 volume_a3_per_atom=34.6 dft_energy_ev_per_atom=-5.113 formation_energy_ev_per_atom=0.0523 pbc="T T T"
La 5.347 4.267 3.701
La 3.254 2.548 5.534
La 4.128 0.876 2.289
La 7.704 4.267 6.052
La 3.264 -0.876 5.540
La 4.118 -2.548 2.282
La 9.797 2.548 4.220
La 10.652 0.876 0.962
La 6.212 -4.267 0.450
La 9.787 -0.876 4.213
La 10.662 -2.548 0.969
La 8.568 -4.267 2.801
Y -0.055 0.938 6.089
Y 0.809 -0.938 2.837
Y 13.106 0.938 3.665
Y 13.971 -0.938 0.414
Ho 7.390 2.591 1.626
Ho 6.526 0.882 4.877
Ho 7.390 -0.882 1.626
Ho 6.526 -2.591 4.877

***

# 14
14
Lattice="-3.483 5.799 6.083 3.483 -5.799 6.083 3.483 5.799 -6.083" Properties=species:S:1:pos:R:3 comment="La4YHo2 | the Alexandria database | GGA-PBE | optimized geometry" e_above_lowest_polymorph_mev_per_atom=158.0 volume_a3_per_atom=35.1 dft_energy_ev_per_atom=-4.819 formation_energy_ev_per_atom=0.2277 pbc="T T T"
La 3.483 5.795 -4.230
La 1.517 2.900 0.099
La 1.966 -2.900 6.181
La 3.483 -0.004 4.230
La 0.000 5.803 1.853
La 1.517 8.699 -0.099
La 1.966 2.900 5.984
La 0.000 0.004 10.312
Y 1.742 2.900 -3.041
Y 1.742 -2.900 3.041
Ho 3.483 0.000 0.000
Ho 3.483 2.900 2.611
Ho 0.000 0.000 6.083
Ho 0.000 2.900 3.472

***

# 15
7
Lattice="8.373 -1.780 0.000 8.373 1.780 0.000 -4.293 0.000 7.682" Properties=species:S:1:pos:R:3 comment="LaY4Ho2 | the Alexandria database | GGA-PBE | optimized geometry" e_above_lowest_polymorph_mev_per_atom=0.0 volume_a3_per_atom=32.7 dft_energy_ev_per_atom=-5.679 formation_energy_ev_per_atom=0.0263 pbc="T T T"
La 0.000 0.000 0.000
Y 1.899 0.000 5.414
Y 5.286 0.000 1.294
Y 7.167 0.000 6.389
Y 10.554 0.000 2.268
Ho -0.673 0.000 3.318
Ho 13.125 0.000 4.365

***

# 16
20
Lattice="5.051 0.000 0.000 0.000 5.051 0.000 0.000 0.000 25.280" Properties=species:S:1:pos:R:3 comment="LaY15Ho4 | the Alexandria database | GGA-PBE | optimized geometry" volume_a3_per_atom=32.2 dft_energy_ev_per_atom=-5.983 formation_energy_ev_per_atom=0.0266 pbc="T T T"
La 0.000 0.000 0.000
Y 0.000 2.525 2.602
Y 0.000 2.525 7.616
Y 0.000 2.525 12.640
Y 0.000 2.525 17.665
Y 0.000 2.525 22.678
Y 2.525 0.000 2.602
Y 2.525 0.000 7.616
Y 2.525 0.000 12.640
Y 2.525 0.000 17.665
Y 2.525 0.000 22.678
Y 2.525 2.525 0.000
Y 2.525 2.525 5.118
Y 2.525 2.525 10.126
Y 2.525 2.525 15.154
Y 2.525 2.525 20.162
Ho 0.000 0.000 5.096
Ho 0.000 0.000 10.128
Ho 0.000 0.000 15.153
Ho 0.000 0.000 20.184

***

# 17
11
Lattice="4.644 -8.465 0.000 4.644 8.465 0.000 -3.423 0.000 5.023" Properties=species:S:1:pos:R:3 comment="La8Y2Ho | the Alexandria database | GGA-PBE | optimized geometry" e_above_lowest_polymorph_mev_per_atom=22.3 volume_a3_per_atom=35.9 dft_energy_ev_per_atom=-5.049 formation_energy_ev_per_atom=0.1262 pbc="T T T"
La -0.351 2.015 3.446
La 4.644 4.999 0.000
La -0.351 -2.015 3.446
La 3.219 0.000 1.006
La 2.646 0.000 4.017
La 6.216 2.015 1.577
La 4.644 -4.999 0.000
La 6.216 -2.015 1.577
Y 2.932 3.197 2.512
Y 2.932 -3.197 2.512
Ho 0.000 0.000 0.000

***

# 18
10
Lattice="6.157 0.000 0.000 2.044 6.818 0.000 2.058 1.236 7.580" Properties=species:S:1:pos:R:3 comment="LaY2Ho7 | the Alexandria database | GGA-PBE | optimized geometry" e_above_lowest_polymorph_mev_per_atom=0.0 volume_a3_per_atom=31.8 dft_energy_ev_per_atom=-4.964 formation_energy_ev_per_atom=0.0256 pbc="T T T"
La 0.000 0.000 0.000
Y 3.087 2.791 4.537
Y 7.172 5.263 3.043
Ho 1.022 3.409 0.000
Ho 4.104 6.190 4.544
Ho 3.074 0.936 1.521
Ho 4.110 4.327 1.522
Ho 6.149 3.727 6.059
Ho 7.185 7.118 6.059
Ho 6.156 1.864 3.037

***

# 19
29
Lattice="0.000 8.032 8.032 8.032 0.000 8.032 8.032 8.032 0.000" Properties=species:S:1:pos:R:3 comment="La7Y16Ho6 | the Alexandria database | GGA-PBE | optimized geometry" volume_a3_per_atom=35.7 dft_energy_ev_per_atom=-5.428 formation_energy_ev_per_atom=0.2747 pbc="T T T"
La 0.000 0.000 0.000
La 4.016 4.016 0.000
La 4.016 0.000 4.016
La 8.032 4.016 4.016
La 0.000 4.016 4.016
La 4.016 8.032 4.016
La 4.016 4.016 8.032
Y 10.400 5.664 5.664
Y 2.093 2.093 2.093
Y 5.939 5.939 2.093
Y 5.939 2.093 5.939
Y 5.664 5.664 5.664
Y 10.400 10.400 5.664
Y 10.400 5.664 10.400
Y 13.972 10.125 10.125
Y 2.093 5.939 5.939
Y 5.664 10.400 5.664
Y 5.664 5.664 10.400
Y 10.400 10.400 10.400
Y 10.125 13.972 10.125
Y 10.125 10.125 13.972
Y 13.972 13.972 13.972
Y 5.664 10.400 10.400
Ho 8.032 8.032 3.998
Ho 8.032 3.998 8.032
Ho 12.066 8.032 8.032
Ho 3.998 8.032 8.032
Ho 8.032 12.066 8.032
Ho 8.032 8.032 12.066

***

Total magnetic moment across the listed records, respectively: 0.00, 0.00, 0.00, 0.00, 0.00, 0.00, 0.00, 0.00, 0.00, 0.00, 0.00, 0.00, 0.00, 0.00, 0.00, 0.00, 0.00, 0.00, 0.00 μB per atom.